An optimized crystal structure of BeP2Cl. Source: Alexandria via LeMat-Bulk, functional GGA-PBE.

Cell: 3.8676 3.8376 4.7794 Å, 90.00 113.52 90.00°
Space group P2/m (No. 10)
One atom of each set of equivalent atoms:
Be 0.0000 0.0000 0.0000
P 0.3412 0.5000 0.1563
Cl 0.0000 0.0000 0.5000

Output
The energy above the most stable polymorph in this dataset is 0.425 eV/atom. As for the uncorrected formation energy: 0.16 eV per formula unit. The total DFT energy (no corrections) comes out at -4.057 eV per atom.